(1)
Here is ReOsBr at its PBEsol-relaxed geometry from Alexandria. Energies are from SCAN.

Results
Its formation energy without anion corrections is 1.155 eV/atom. The calculation puts the volume at 199.7 Å³/cell. The calculation puts the total magnetic moment at 0.00 μB per atom.

Cell lengths 2.8023, 4.8863, 14.5831 Å; angles 90.00, 90.00, 90.00 degrees
Space group Fmm2 (No. 42)
Asymmetric unit:
Re: 0.0000 0.0000 0.0000 [4 per cell]
Os: 0.0000 0.0000 0.3571 [4 per cell]
Br: 0.0000 0.0000 0.6747 [4 per cell]



(2)
Here is LaGaTc3 at its PBEsol-relaxed geometry from Alexandria. Energies are from SCAN.

Results
The calculation puts the volume at 98.8 Å³/cell. Its formation energy is 0.8752 eV/atom. The calculation puts the total magnetic moment at 0.69 μB per atom.

Cell lengths 4.6227, 4.6227, 4.6227 Å; angles 90.00, 90.00, 90.00 degrees
Space group Pm-3m (No. 221)
Asymmetric unit:
La: 0.0000 0.0000 0.0000 [1 per cell]
Ga: 0.5000 0.5000 0.5000 [1 per cell]
Tc: 0.0000 0.5000 0.5000 [3 per cell]